{"formula": "MgW3", "functional": "PBE", "state": "relaxed", "lattice_angstrom": [[-2.369, 4.502, -1.562], [-4.798, 1.032, 2.056], [5.121, -0.898, 1.132]], "species": ["Mg", "W", "W", "W"], "fractional_positions": [[0.750, 0.250, 0.500], [0.015, 0.015, 0.000], [0.250, 0.750, 0.500], [0.485, 0.485, 0.000]], "spacegroup": "Immm", "e_form_mev_per_atom": 374, "e_above_lowest_polymorph_mev_per_atom": 145}